The following is a GGA+U calculation of crystalline NbV2NiO8 at its relaxed geometry, from the Alexandria database.

For the total energy, the calculation gives -88.71 eV per formula unit.

```
NbV2NiO8
1.0
-2.755 -4.842 -1.392
4.114 -0.087 4.005
-3.801 1.034 3.928
O Ni V Nb
8 1 2 1
Cartesian
0.366 -1.276 3.713
-2.808 -2.620 2.828
-1.338 -2.605 5.434
-2.563 -3.856 0.369
-2.058 0.006 4.050
-1.104 -1.291 1.106
0.121 -0.040 6.172
-0.384 -3.902 2.490
-1.901 0.517 1.964
-0.744 -0.974 4.859
-1.698 -2.922 1.681
0.000 0.000 0.000
```